VASP calculation (PBEsol) on a relaxed structure of LaMnAs2.

Output
As for the density: 6.67 g cm⁻³. The space group is Immm. The value obtained for the total energy is -6.907 eV/atom.

Unit cell a=4.1078 b=5.0383 c=5.0383 alpha=71.49 beta=65.94 gamma=65.94
Positions (direct):
La  0.0000  0.5000  0.5000
As  0.8041  0.1959  0.1959
As  0.1959  0.8041  0.8041
Mn  0.5000  0.0000  0.0000

---

VASP calculation (PBEsol) on a relaxed structure of La4MnAs.

Output
As for the density: 6.69 g cm⁻³. The space group is F-43m. The value obtained for the total energy is -5.558 eV/atom.

Unit cell a=6.2209 b=6.2209 c=6.2209 alpha=60.00 beta=60.00 gamma=60.00
Positions (direct):
La  0.3743  0.3743  0.3743
As  0.0000  0.0000  0.0000
La  0.3743  0.3743  0.8770
La  0.8770  0.3743  0.3743
Mn  0.7500  0.7500  0.7500
La  0.3743  0.8770  0.3743

---

VASP calculation (PBEsol) on a relaxed structure of LaMnAs2.

Output
As for the density: 6.07 g cm⁻³. The space group is I-42d. The value obtained for the total energy is -6.700 eV/atom.

Unit cell a=4.9329 b=4.9329 c=8.4818 alpha=106.91 beta=106.91 gamma=90.00
Positions (direct):
La  0.2500  0.7500  0.5000
As  0.1250  0.2929  0.7500
Mn  0.7500  0.2500  0.5000
As  0.6250  0.4571  0.7500
La  0.0000  0.0000  0.0000
Mn  0.5000  0.5000  0.0000
As  0.7071  0.3750  0.2500
As  0.5429  0.8750  0.2500